1.
{
  "formula": "SrNi3Ge",
  "functional": "meta-GGA SCAN",
  "state": "single point on PBEsol structure",
  "lattice": [[4.6191, 0.0000, 0.0000], [0.0000, 4.6191, 0.0000], [0.0000, 0.0000, 4.6191]],
  "species": ["Ni", "Ni", "Ni", "Ge", "Sr"],
  "frac_coords": [[0.0000, 0.0000, 0.5000], [0.5000, 0.0000, 0.0000], [0.0000, 0.5000, 0.0000], [0.5000, 0.5000, 0.5000], [0.0000, 0.0000, 0.0000]],
  "rho_g_cm3": 5.7,
  "dos_ef_per_ev_cell": 4.0,
  "m_tot_mub_per_fu": 0.00,
  "sg": "Pm-3m (221)",
  "energy_ev_per_cell": -80.12
}



2.
{
  "formula": "TaNiGe",
  "functional": "meta-GGA SCAN",
  "state": "single point on PBEsol structure",
  "lattice": [[3.7506, 0.0000, 0.0000], [0.0000, 6.2148, 0.0000], [0.0000, 0.0000, 7.1114]],
  "species": ["Ge", "Ge", "Ge", "Ge", "Ta", "Ta", "Ta", "Ta", "Ni", "Ni", "Ni", "Ni"],
  "frac_coords": [[0.7500, 0.2843, 0.1127], [0.2500, 0.7157, 0.8873], [0.7500, 0.7843, 0.3873], [0.2500, 0.2157, 0.6127], [0.2500, 0.9853, 0.1785], [0.7500, 0.0147, 0.8215], [0.7500, 0.5147, 0.6785], [0.2500, 0.4853, 0.3215], [0.2500, 0.3357, 0.9268], [0.2500, 0.8357, 0.5732], [0.7500, 0.1643, 0.4268], [0.7500, 0.6643, 0.0732]],
  "rho_g_cm3": 12.5,
  "dos_ef_per_ev_cell": 5.9,
  "m_tot_mub_per_fu": 0.00,
  "sg": "Pnma (62)",
  "energy_ev_per_cell": -413.23
}



3.
{
  "formula": "Ta2Ni3Ge",
  "functional": "meta-GGA SCAN",
  "state": "single point on PBEsol structure",
  "lattice": [[4.8386, 0.0000, 0.0000], [-2.4193, 4.1904, 0.0000], [0.0000, 0.0000, 7.6765]],
  "species": ["Ni", "Ni", "Ni", "Ni", "Ni", "Ni", "Ta", "Ta", "Ta", "Ta", "Ge", "Ge"],
  "frac_coords": [[0.1713, 0.3425, 0.2500], [0.8287, 0.1713, 0.7500], [0.3425, 0.1713, 0.7500], [0.6575, 0.8287, 0.2500], [0.8287, 0.6575, 0.7500], [0.1713, 0.8287, 0.2500], [0.6667, 0.3333, 0.0582], [0.3333, 0.6667, 0.9418], [0.3333, 0.6667, 0.5582], [0.6667, 0.3333, 0.4418], [0.0000, 0.0000, 0.0000], [0.0000, 0.0000, 0.5000]],
  "rho_g_cm3": 13.0,
  "dos_ef_per_ev_cell": 9.6,
  "m_tot_mub_per_fu": 2.77,
  "sg": "P6_3/mmc (194)",
  "energy_ev_per_cell": -406.22
}



4.
{
  "formula": "Ni2GeTe",
  "functional": "meta-GGA SCAN",
  "state": "single point on PBEsol structure",
  "lattice": [[4.3947, 0.0000, 0.0000], [2.1974, 3.8059, 0.0000], [2.1974, 1.2686, 3.5883]],
  "species": ["Ge", "Ni", "Ni", "Te"],
  "frac_coords": [[0.0000, 0.0000, 0.0000], [0.2500, 0.2500, 0.2500], [0.7500, 0.7500, 0.7500], [0.5000, 0.5000, 0.5000]],
  "rho_g_cm3": 8.8,
  "dos_ef_per_ev_cell": 2.2,
  "m_tot_mub_per_fu": 0.00,
  "sg": "Fm-3m (225)",
  "energy_ev_per_cell": -87.89
}